# PmEr8Sc6

PmEr8Sc6 after structural relaxation (PBE, the Alexandria database).

abc: 9.2955 9.2955 7.8751
angles: 53.83 53.83 60.00
With the nearest neighbours (Å) after each atom.
Fractional coordinates of all 15 atoms:
Sc1 0.6102 0.0596 0.0405  4 Er 3.01-3.37, 1 Pm 3.22, 3 Sc 3.24-3.25
Sc2 0.3898 0.9404 0.9595  4 Er 3.01-3.37, 1 Pm 3.22, 3 Sc 3.24-3.25
Sc3 0.2898 0.6102 0.0405  4 Er 3.01-3.37, 1 Pm 3.22, 3 Sc 3.24-3.25
Sc4 0.0596 0.2898 0.0405  4 Er 3.01-3.37, 1 Pm 3.22, 3 Sc 3.24-3.25
Sc5 0.7102 0.3898 0.9595  4 Er 3.01-3.37, 1 Pm 3.22, 3 Sc 3.24-3.25
Sc6 0.9404 0.7102 0.9595  4 Er 3.01-3.37, 1 Pm 3.22, 3 Sc 3.24-3.25
Er1 0.6354 0.7723 0.5231  3 Sc 3.17-3.37, 2 Er 3.48
Er2 0.2277 0.9309 0.4769  3 Sc 3.17-3.37, 2 Er 3.48
Er3 0.9309 0.3646 0.4769  3 Sc 3.17-3.37, 2 Er 3.48
Er4 0.4105 0.4105 0.7686  3 Sc 3.01, 1 Er 3.10
Er5 0.3646 0.2277 0.4769  3 Sc 3.17-3.37, 2 Er 3.48
Er6 0.7723 0.0691 0.5231  3 Sc 3.17-3.37, 2 Er 3.48
Er7 0.0691 0.6354 0.5231  3 Sc 3.17-3.37, 2 Er 3.48
Er8 0.5895 0.5895 0.2314  3 Sc 3.01, 1 Er 3.10
Pm1 0.0000 0.0000 0.0000  6 Sc 3.22

The energy relative to the elements is 0.19 eV per atom. As for the uncorrected energy: -5.0917 eV per atom. The value obtained for the size of the total moment is 0.000 μB per atom. The value obtained for the excess energy over the best structure of this formula in the dataset is 0.15 eV/f.u.



# Pm4ErSc3

Pm4ErSc3 after structural relaxation (PBE, the Alexandria database).

abc: 6.0810 7.1509 11.1201
angles: 90.00 90.00 90.00
With the nearest neighbours (Å) after each atom.
Fractional coordinates of all 16 atoms:
Pm1 0.2597 0.6357 0.0000  6 Pm 3.42-3.73, 4 Sc 3.44-3.60, 2 Er 3.56-3.64
Pm2 0.7738 0.8856 0.5000  6 Sc 3.41-3.47, 4 Pm 3.42-3.73, 2 Er 3.50-3.57
Pm3 0.1129 0.3669 0.2548  5 Sc 3.41-3.70, 2 Er 3.46-3.53, 5 Pm 3.47-3.59
Pm4 0.7597 0.3643 0.5000  6 Pm 3.42-3.73, 4 Sc 3.44-3.60, 2 Er 3.56-3.64
Pm5 0.2738 0.1144 0.0000  6 Sc 3.41-3.47, 4 Pm 3.42-3.73, 2 Er 3.50-3.57
Pm6 0.6129 0.6331 0.2452  5 Sc 3.41-3.70, 2 Er 3.46-3.53, 5 Pm 3.47-3.59
Pm7 0.6129 0.6331 0.7548  5 Sc 3.41-3.70, 2 Er 3.46-3.53, 5 Pm 3.47-3.59
Pm8 0.1129 0.3669 0.7452  5 Sc 3.41-3.70, 2 Er 3.46-3.53, 5 Pm 3.47-3.59
Sc1 0.6064 0.1162 0.2464  4 Sc 3.37-3.47, 7 Pm 3.41-3.70, 1 Er 3.42
Sc2 0.2755 0.1169 0.5000  4 Sc 3.37-3.46, 6 Pm 3.41-3.60, 2 Er 3.46-3.69
Sc3 0.7755 0.8831 0.0000  4 Sc 3.37-3.46, 6 Pm 3.41-3.60, 2 Er 3.46-3.69
Sc4 0.1064 0.8838 0.2536  4 Sc 3.37-3.47, 7 Pm 3.41-3.70, 1 Er 3.42
Sc5 0.1064 0.8838 0.7464  4 Sc 3.37-3.47, 7 Pm 3.41-3.70, 1 Er 3.42
Sc6 0.6064 0.1162 0.7536  4 Sc 3.37-3.47, 7 Pm 3.41-3.70, 1 Er 3.42
Er1 0.7676 0.3665 0.0000  4 Sc 3.42-3.69, 8 Pm 3.46-3.64
Er2 0.2676 0.6335 0.5000  4 Sc 3.42-3.69, 8 Pm 3.46-3.64

The energy relative to the elements is 0.05 eV per atom. As for the uncorrected energy: -5.2713 eV per atom. The value obtained for the size of the total moment is 0.000 μB per atom. The value obtained for the excess energy over the best structure of this formula in the dataset is 0.00 eV/f.u.



# Pm5Er4Sc2

Pm5Er4Sc2 after structural relaxation (PBE, the Alexandria database).

abc: 3.5084 8.7668 11.2930
angles: 86.09 90.00 90.00
With the nearest neighbours (Å) after each atom.
Fractional coordinates of all 11 atoms:
Er1 0.5000 0.8326 0.8770  2 Sc 3.36, 2 Er 3.51, 8 Pm 3.54-3.67
Er2 0.5000 0.1674 0.1230  2 Sc 3.36, 2 Er 3.51, 8 Pm 3.54-3.67
Er3 0.5000 0.7385 0.4427  4 Sc 3.36-3.38, 2 Er 3.51, 6 Pm 3.57-3.67
Er4 0.5000 0.2615 0.5573  4 Sc 3.36-3.38, 2 Er 3.51, 6 Pm 3.57-3.67
Sc1 0.0000 0.9398 0.6316  1 Sc 3.09, 2 Pm 3.28-3.29, 6 Er 3.36-3.38
Sc2 0.0000 0.0602 0.3684  1 Sc 3.09, 2 Pm 3.28-3.29, 6 Er 3.36-3.38
Pm1 0.0000 0.5674 0.6927  1 Sc 3.29, 4 Pm 3.48-3.65, 6 Er 3.57-3.67
Pm2 0.0000 0.5000 0.0000  6 Pm 3.41-3.51, 4 Er 3.60
Pm3 0.0000 0.4326 0.3073  1 Sc 3.29, 4 Pm 3.48-3.65, 6 Er 3.57-3.67
Pm4 0.0000 0.1832 0.8402  1 Sc 3.28, 4 Pm 3.41-3.65, 6 Er 3.54-3.67
Pm5 0.0000 0.8168 0.1598  1 Sc 3.28, 4 Pm 3.41-3.65, 6 Er 3.54-3.67

The energy relative to the elements is 0.08 eV per atom. As for the uncorrected energy: -4.8870 eV per atom. The value obtained for the size of the total moment is 0.000 μB per atom. The value obtained for the excess energy over the best structure of this formula in the dataset is 0.00 eV/f.u.



# PmErSc3

PmErSc3 after structural relaxation (PBE, the Alexandria database).

abc: 5.9757 8.7471 11.2730
angles: 110.22 90.00 90.00
With the nearest neighbours (Å) after each atom.
Fractional coordinates of all 20 atoms:
Sc1 0.3249 0.6483 0.7005  2 Pm 3.30-3.32, 7 Sc 3.30-3.50, 3 Er 3.32-3.38
Sc2 0.1612 0.5469 0.3995  3 Er 3.28-3.43, 7 Sc 3.29-3.50, 2 Pm 3.31-3.46
Sc3 0.3336 0.8483 0.2962  5 Sc 3.30-3.43, 3 Er 3.32-3.53, 4 Pm 3.41-3.47
Sc4 0.1751 0.1483 0.2005  2 Pm 3.30-3.32, 7 Sc 3.30-3.50, 3 Er 3.32-3.38
Sc5 0.8336 0.6517 0.2037  5 Sc 3.30-3.43, 3 Er 3.32-3.53, 4 Pm 3.41-3.47
Sc6 0.1664 0.3483 0.7962  5 Sc 3.30-3.43, 3 Er 3.32-3.53, 4 Pm 3.41-3.47
Sc7 0.8388 0.4531 0.6005  3 Er 3.28-3.43, 7 Sc 3.29-3.50, 2 Pm 3.31-3.46
Sc8 0.8249 0.8517 0.7995  2 Pm 3.30-3.32, 7 Sc 3.30-3.50, 3 Er 3.32-3.38
Sc9 0.6612 0.9531 0.1005  3 Er 3.28-3.43, 7 Sc 3.29-3.50, 2 Pm 3.31-3.46
Sc10 0.3388 0.0469 0.8995  3 Er 3.28-3.43, 7 Sc 3.29-3.50, 2 Pm 3.31-3.46
Sc11 0.6664 0.1517 0.7038  5 Sc 3.30-3.43, 3 Er 3.32-3.53, 4 Pm 3.41-3.47
Sc12 0.6751 0.3517 0.2995  2 Pm 3.30-3.32, 7 Sc 3.30-3.50, 3 Er 3.32-3.38
Pm1 0.1676 0.9466 0.6034  8 Sc 3.30-3.47, 1 Pm 3.44, 3 Er 3.44-3.50
Pm2 0.3324 0.4466 0.1034  8 Sc 3.30-3.47, 1 Pm 3.44, 3 Er 3.44-3.50
Pm3 0.6676 0.5534 0.8966  8 Sc 3.30-3.47, 1 Pm 3.44, 3 Er 3.44-3.50
Pm4 0.8324 0.0534 0.3966  8 Sc 3.30-3.47, 1 Pm 3.44, 3 Er 3.44-3.50
Er1 0.6613 0.7415 0.5004  9 Sc 3.28-3.53, 3 Pm 3.44-3.50
Er2 0.1613 0.7585 0.9996  9 Sc 3.28-3.53, 3 Pm 3.44-3.50
Er3 0.8387 0.2415 0.0004  9 Sc 3.28-3.53, 3 Pm 3.44-3.50
Er4 0.3387 0.2585 0.4996  9 Sc 3.28-3.53, 3 Pm 3.44-3.50

The energy relative to the elements is 0.03 eV per atom. As for the uncorrected energy: -5.6303 eV per atom. The value obtained for the size of the total moment is 0.000 μB per atom. The value obtained for the excess energy over the best structure of this formula in the dataset is 0.00 eV/f.u.



# Pm2Er4Sc

Pm2Er4Sc after structural relaxation (PBE, the Alexandria database).

abc: 3.5425 3.5425 19.9200
angles: 84.90 84.90 60.00
With the nearest neighbours (Å) after each atom.
Fractional coordinates of all 7 atoms:
Er1 0.3780 0.3780 0.8660  3 Sc 3.35, 9 Er 3.48-3.54
Er2 0.9080 0.9080 0.2761  9 Er 3.48-3.54, 3 Pm 3.56
Er3 0.0920 0.0920 0.7239  9 Er 3.48-3.54, 3 Pm 3.56
Er4 0.6220 0.6220 0.1340  3 Sc 3.35, 9 Er 3.48-3.54
Pm1 0.8078 0.8078 0.5767  9 Pm 3.54-3.66, 3 Er 3.56
Pm2 0.1922 0.1922 0.4233  9 Pm 3.54-3.66, 3 Er 3.56
Sc1 0.0000 0.0000 0.0000  6 Er 3.35, 6 Sc 3.54

The energy relative to the elements is 0.03 eV per atom. As for the uncorrected energy: -4.8392 eV per atom. The value obtained for the size of the total moment is 0.000 μB per atom. The value obtained for the excess energy over the best structure of this formula in the dataset is 0.00 eV/f.u.



# Pm2Er3Sc4

Pm2Er3Sc4 after structural relaxation (PBE, the Alexandria database).

abc: 5.8368 10.8385 10.8385
angles: 61.88 63.17 63.17
With the nearest neighbours (Å) after each atom.
Fractional coordinates of all 18 atoms:
Er1 0.2080 0.9378 0.7390  7 Sc 3.20-3.47, 2 Pm 3.37-3.38
Er2 0.7920 0.0622 0.2610  7 Sc 3.20-3.47, 2 Pm 3.37-3.38
Er3 0.7500 0.3919 0.6081  4 Sc 3.33-3.57, 6 Pm 3.44-3.67
Er4 0.2500 0.6081 0.3919  4 Sc 3.33-3.57, 6 Pm 3.44-3.67
Er5 0.2920 0.2610 0.0622  7 Sc 3.20-3.47, 2 Pm 3.37-3.38
Er6 0.7080 0.7390 0.9378  7 Sc 3.20-3.47, 2 Pm 3.37-3.38
Sc1 0.6035 0.4148 0.1359  1 Sc 3.10, 4 Er 3.21-3.47, 2 Pm 3.30
Sc2 0.5650 0.0886 0.8230  3 Sc 3.14-3.33, 4 Er 3.20-3.33, 1 Pm 3.22
Sc3 0.1035 0.1359 0.4148  1 Sc 3.10, 4 Er 3.21-3.47, 2 Pm 3.30
Sc4 0.0650 0.8230 0.0886  3 Sc 3.14-3.33, 4 Er 3.20-3.33, 1 Pm 3.22
Sc5 0.4350 0.9114 0.1770  3 Sc 3.14-3.33, 4 Er 3.20-3.33, 1 Pm 3.22
Sc6 0.9350 0.1770 0.9114  3 Sc 3.14-3.33, 4 Er 3.20-3.33, 1 Pm 3.22
Sc7 0.8965 0.8641 0.5852  1 Sc 3.10, 4 Er 3.21-3.47, 2 Pm 3.30
Sc8 0.3965 0.5852 0.8641  1 Sc 3.10, 4 Er 3.21-3.47, 2 Pm 3.30
Pm1 0.9407 0.5150 0.2306  5 Sc 3.22-3.59, 4 Er 3.37-3.46
Pm2 0.4407 0.2306 0.5150  5 Sc 3.22-3.59, 4 Er 3.37-3.46
Pm3 0.0593 0.4850 0.7694  5 Sc 3.22-3.59, 4 Er 3.37-3.46
Pm4 0.5593 0.7694 0.4850  5 Sc 3.22-3.59, 4 Er 3.37-3.46

The energy relative to the elements is 0.11 eV per atom. As for the uncorrected energy: -5.2816 eV per atom. The value obtained for the size of the total moment is 0.000 μB per atom.